YInTc2 | PBEsol | optimized geometry

Calculated values
Formation energy in kJ/mol of atoms: 7.8
Total energy in eV per formula unit: -32.0
Crystal system: orthorhombic
Space-group type: Imm2
Total moment in μB per formula unit: 0.00

abc: 5.566 5.566 5.566
angles: 145.47 130.74 61.54
Atoms (fractional coordinates):
Y 0.000 0.000 0.000
In 0.281 0.781 0.500
Tc 0.535 0.535 0.000
Tc 0.736 0.236 0.500

***

Sr2ZrIr | PBEsol | optimized geometry

Calculated values
Formation energy in kJ/mol of atoms: 49.0
Total energy in eV per formula unit: -20.6
Crystal system: orthorhombic
Space-group type: Pmmm
Total moment in μB per formula unit: 0.00

abc: 3.314 4.957 5.946
angles: 90.00 90.00 90.00
Atoms (fractional coordinates):
Sr 0.000 0.000 0.234
Sr 0.000 0.000 0.766
Zr 0.500 0.500 0.500
Ir 0.500 0.500 0.000

***

YScAu2 | PBEsol | optimized geometry

Calculated values
Formation energy in kJ/mol of atoms: -80.7
Total energy in eV per formula unit: -24.6
Crystal system: orthorhombic
Space-group type: Amm2
Total moment in μB per formula unit: 0.00

abc: 4.529 5.591 5.591
angles: 36.87 90.00 90.00
Atoms (fractional coordinates):
Y 0.000 0.000 0.000
Sc 0.500 0.282 0.282
Au 0.000 0.730 0.730
Au 0.500 0.557 0.557

***

TiB2Mo2 | PBEsol | optimized geometry

Calculated values
Formation energy in kJ/mol of atoms: -67.5
Total energy in eV per formula unit: -49.4
Crystal system: tetragonal
Space-group type: P4/mbm
Total moment in μB per formula unit: 0.00

abc: 5.944 5.944 3.129
angles: 90.00 90.00 90.00
Atoms (fractional coordinates):
Ti 0.000 0.000 0.000
Ti 0.500 0.500 0.000
B 0.111 0.389 0.000
B 0.389 0.889 0.000
B 0.611 0.111 0.000
B 0.889 0.611 0.000
Mo 0.176 0.676 0.500
Mo 0.324 0.176 0.500
Mo 0.676 0.824 0.500
Mo 0.824 0.324 0.500